First-principles (PBE-GGA) data for crystalline NdTm3Pu2Te6 at its relaxed geometry, as listed in the Alexandria database.

Summary:
SG: C2/m, No. 12

a = 9.819 Å, b = 9.819 Å, c = 8.815 Å
α = 103.70°, β = 103.70°, γ = 25.58°
Sites, in units of the cell vectors:
Nd  0.000  0.000  0.000
Tm  0.000  0.000  0.500
Tm  0.335  0.335  0.166
Tm  0.665  0.665  0.834
Pu  0.334  0.334  0.667
Pu  0.666  0.666  0.333
Te  0.165  0.165  0.589
Te  0.171  0.171  0.079
Te  0.498  0.498  0.260
Te  0.502  0.502  0.740
Te  0.829  0.829  0.921
Te  0.835  0.835  0.411

---

First-principles (PBE-GGA) data for crystalline Nd2Tm3PuTe6 at its relaxed geometry, as listed in the Alexandria database.

Summary:
SG: C2/m, No. 12

a = 9.865 Å, b = 9.865 Å, c = 8.875 Å
α = 104.33°, β = 104.33°, γ = 25.43°
Sites, in units of the cell vectors:
Nd  0.167  0.167  0.335
Nd  0.833  0.833  0.665
Tm  0.168  0.168  0.836
Tm  0.500  0.500  0.500
Tm  0.832  0.832  0.164
Pu  0.500  0.500  0.000
Te  0.004  0.004  0.745
Te  0.332  0.332  0.925
Te  0.337  0.337  0.406
Te  0.663  0.663  0.594
Te  0.668  0.668  0.075
Te  0.996  0.996  0.255

---

no.,formation energy without anion corrections (eV per atom)
1,-1.21
2,-1.26